IrPb3W (PBE, relaxed); E above lowest polymorph = 0 meV per atom
1.0
5.2643 0.0000 0.0000
0.0000 5.2643 0.0000
0.0000 0.0000 5.2643
Pb Ir W
3 1 1
Direct
0.0000 0.5000 0.0000
0.0000 0.0000 0.5000
0.5000 0.0000 0.0000
0.0000 0.0000 0.0000
0.5000 0.5000 0.5000

---

Ir2PbW (PBE, relaxed); uncorrected energy = -8.129 eV/atom
1.0
-5.4178 0.7835 3.5157
1.4478 -4.4249 -1.5753
0.0691 -0.9684 2.7763
Ir Pb W
2 1 1
Direct
0.0000 0.0000 0.0000
0.5000 0.0000 0.5000
0.0000 0.5000 0.5000
0.5000 0.5000 0.0000

---

no.,D(E_F) (states/eV per atom)
1,0.834
2,0.926